No. 1
Compound: IBrO
Source: Alexandria
Functional: PBE
Structure: relaxed

Properties
For the uncorrected formation energy, the calculation gives -0.0403 eV/atom. As for the mass density: 3.7 g/cm³. The value obtained for the volume is 101 Å³/f.u.

Unit cell a=4.435 b=6.744 c=6.882 alpha=83.10 beta=82.34 gamma=84.32
Space group P1 (No. 1)
Symmetry-distinct sites (fractional):
I1 0.000 0.000 0.000 (multiplicity 1)
I2 0.036 0.806 0.574 (multiplicity 1)
Br1 0.225 0.472 0.757 (multiplicity 1)
Br2 0.850 0.184 0.353 (multiplicity 1)
O1 0.403 0.045 0.962 (multiplicity 1)
O2 0.994 0.750 0.121 (multiplicity 1)


No. 2
Compound: I3BrO
Source: Alexandria
Functional: PBE
Structure: relaxed

Properties
For the uncorrected formation energy, the calculation gives 1.1646 eV/atom. As for the mass density: 4.0 g/cm³. The value obtained for the volume is 199 Å³/f.u.

Unit cell a=5.839 b=5.839 c=5.839 alpha=90.00 beta=90.00 gamma=90.00
Space group Pm-3m (No. 221)
Symmetry-distinct sites (fractional):
I1 0.000 0.000 0.500 (multiplicity 3)
Br1 0.000 0.000 0.000 (multiplicity 1)
O1 0.500 0.500 0.500 (multiplicity 1)


No. 3
Compound: IBrO2
Source: Alexandria
Functional: PBE
Structure: relaxed

Properties
For the uncorrected formation energy, the calculation gives 0.5581 eV/atom. As for the mass density: 5.3 g/cm³. The value obtained for the volume is 75 Å³/f.u.

Unit cell a=3.7984 b=3.7984 c=17.9034 alpha=90.00 beta=90.00 gamma=120.00
Space group R-3m (No. 166, hexagonal axes)
Symmetry-distinct sites (fractional):
I1 0.0000 0.0000 0.0000 (multiplicity 3)
Br1 0.0000 0.0000 0.5000 (multiplicity 3)
O1 0.0000 0.0000 0.1193 (multiplicity 6)


No. 4
Compound: IBrO
Source: Alexandria
Functional: PBE
Structure: relaxed

Properties
For the uncorrected formation energy, the calculation gives 0.0001 eV/atom. As for the mass density: 3.7 g/cm³. The value obtained for the volume is 100 Å³/f.u.

Unit cell a=3.887 b=5.502 c=9.515 alpha=90.79 beta=98.80 gamma=94.79
Space group P1 (No. 1)
Symmetry-distinct sites (fractional):
I1 0.000 0.000 0.000 (multiplicity 1)
I2 0.327 0.301 0.462 (multiplicity 1)
Br1 0.305 0.799 0.409 (multiplicity 1)
Br2 0.553 0.654 0.873 (multiplicity 1)
O1 0.044 0.193 0.853 (multiplicity 1)
O2 0.697 0.141 0.098 (multiplicity 1)


No. 5
Compound: IBrO
Source: Alexandria
Functional: PBE
Structure: relaxed

Properties
For the uncorrected formation energy, the calculation gives -0.0483 eV/atom. As for the mass density: 3.7 g/cm³. The value obtained for the volume is 101 Å³/f.u.

Unit cell a=4.220 b=5.800 c=8.740 alpha=93.84 beta=98.33 gamma=106.96
Space group P1 (No. 1)
Symmetry-distinct sites (fractional):
I1 0.000 0.000 0.000 (multiplicity 1)
I2 0.106 0.998 0.500 (multiplicity 1)
Br1 0.204 0.311 0.790 (multiplicity 1)
Br2 0.777 0.694 0.210 (multiplicity 1)
O1 0.333 0.801 0.578 (multiplicity 1)
O2 0.408 0.213 0.414 (multiplicity 1)


No. 6
Compound: IBrO
Source: Alexandria
Functional: PBE
Structure: relaxed

Properties
For the uncorrected formation energy, the calculation gives 0.0946 eV/atom. As for the mass density: 4.2 g/cm³. The value obtained for the volume is 89 Å³/f.u.

Unit cell a=3.474 b=4.600 c=5.883 alpha=80.72 beta=73.48 gamma=88.70
Space group P1 (No. 1)
Symmetry-distinct sites (fractional):
I1 0.000 0.000 0.000 (multiplicity 1)
Br1 0.318 0.688 0.349 (multiplicity 1)
O1 0.554 0.176 0.823 (multiplicity 1)


No. 7
Compound: I2BrO
Source: Alexandria
Functional: PBE
Structure: relaxed

Properties
For the uncorrected formation energy, the calculation gives 1.0589 eV/atom. As for the mass density: 6.0 g/cm³. The value obtained for the volume is 97 Å³/f.u.

Unit cell a=7.284 b=7.284 c=7.284 alpha=90.00 beta=90.00 gamma=90.00
Space group Fm-3m (No. 225)
Symmetry-distinct sites (fractional):
I1 0.250 0.250 0.250 (multiplicity 8)
Br1 0.000 0.000 0.000 (multiplicity 4)
O1 0.000 0.000 0.500 (multiplicity 4)


No. 8
Compound: IBrO2
Source: Alexandria
Functional: PBE
Structure: relaxed

Properties
For the uncorrected formation energy, the calculation gives 0.3638 eV/atom. As for the mass density: 4.0 g/cm³. The value obtained for the volume is 100 Å³/f.u.

Unit cell a=6.589 b=6.589 c=9.202 alpha=90.00 beta=90.00 gamma=90.00
Space group I4_1/amd (No. 141, origin choice 2)
Symmetry-distinct sites (fractional):
I1 0.000 0.250 0.375 (multiplicity 4)
Br1 0.000 0.250 0.875 (multiplicity 4)
O1 0.000 0.000 0.500 (multiplicity 8)


No. 9
Compound: I2BrO2
Source: Alexandria
Functional: PBE
Structure: relaxed

Properties
For the uncorrected formation energy, the calculation gives 0.4791 eV/atom. As for the mass density: 3.9 g/cm³. The value obtained for the volume is 156 Å³/f.u.

Unit cell a=10.467 b=10.467 c=2.840 alpha=90.00 beta=90.00 gamma=90.00
Space group P4/mbm (No. 127)
Symmetry-distinct sites (fractional):
I1 0.223 0.277 0.000 (multiplicity 4)
Br1 0.000 0.000 0.500 (multiplicity 2)
O1 0.172 0.672 0.500 (multiplicity 4)


No. 10
Compound: IBrO4
Source: Alexandria
Functional: PBE
Structure: relaxed

Properties
For the uncorrected formation energy, the calculation gives 0.0592 eV/atom. As for the mass density: 4.0 g/cm³. The value obtained for the volume is 112 Å³/f.u.

Unit cell a=9.423 b=6.770 c=7.055 alpha=90.00 beta=95.00 gamma=90.00
Space group P2_1/c (No. 14)
Symmetry-distinct sites (fractional):
I1 0.180 0.108 0.226 (multiplicity 4)
Br1 0.395 0.731 0.389 (multiplicity 4)
O1 0.069 0.219 0.395 (multiplicity 4)
O2 0.229 0.619 0.910 (multiplicity 4)
O3 0.335 0.238 0.766 (multiplicity 4)
O4 0.373 0.604 0.605 (multiplicity 4)


No. 11
Compound: IBrO
Source: Alexandria
Functional: PBE
Structure: relaxed

Properties
For the uncorrected formation energy, the calculation gives 0.0745 eV/atom. As for the mass density: 3.9 g/cm³. The value obtained for the volume is 95 Å³/f.u.

Unit cell a=4.185 b=4.837 c=5.548 alpha=69.39 beta=89.93 gamma=65.99
Space group P1 (No. 1)
Symmetry-distinct sites (fractional):
I1 0.000 0.000 0.000 (multiplicity 1)
Br1 0.878 0.101 0.469 (multiplicity 1)
O1 0.425 0.053 0.984 (multiplicity 1)


No. 12
Compound: I2BrO
Source: Alexandria
Functional: PBE
Structure: relaxed

Properties
For the uncorrected formation energy, the calculation gives 0.3227 eV/atom. As for the mass density: 4.4 g/cm³. The value obtained for the volume is 132 Å³/f.u.

Unit cell a=6.199 b=6.199 c=13.739 alpha=90.00 beta=90.00 gamma=90.00
Space group I-42d (No. 122)
Symmetry-distinct sites (fractional):
I1 0.002 0.250 0.125 (multiplicity 8)
Br1 0.000 0.000 0.500 (multiplicity 4)
O1 0.000 0.000 0.000 (multiplicity 4)